Entry 1
Material: SbRh2Au2
Method: DFT, PBE
State: optimized geometry

Geometry as POSCAR:
```
SbRh2Au2
1.0
-1.865 1.865 6.850
1.865 -1.865 6.850
1.865 1.865 -6.850
Sb Rh Au
1 2 2
direct
0.000 0.000 0.000
0.405 0.405 0.000
0.595 0.595 0.000
0.250 0.750 0.500
0.750 0.250 0.500
```

Space group ... I4/mmm, No. 139
Calculated density ... 12.6 g cm⁻³
DOS(E_F) ... 8.506 states/eV/f.u.

---

Entry 2
Material: SbRh2Au2
Method: DFT, PBE
State: optimized geometry

Geometry as POSCAR:
```
SbRh2Au2
1.0
6.605 0.000 0.000
0.000 6.605 0.000
0.000 0.000 4.212
Sb Rh Au
2 4 4
direct
0.000 0.000 0.000
0.500 0.500 0.000
0.142 0.358 0.000
0.358 0.858 0.000
0.642 0.142 0.000
0.858 0.642 0.000
0.157 0.657 0.500
0.343 0.157 0.500
0.657 0.843 0.500
0.843 0.343 0.500
```

Space group ... P4/mbm, No. 127
Calculated density ... 13.0 g cm⁻³
DOS(E_F) ... 3.483 states/eV/f.u.

---

Verdict on stability: entry 2 comes out on top.